No. 1
The following is a PBE calculation of crystalline K2CeTm2S6 at its relaxed geometry, from Alexandria via LeMat-Bulk.

Cell lengths 6.926, 6.926, 7.862 Å; angles 98.47, 98.47, 120.10 degrees
Element x y z (fractional)
1 K 0.833 0.167 0.000
2 K 0.167 0.833 0.000
3 Ce 0.000 0.000 0.500
4 Tm 0.334 0.666 0.500
5 Tm 0.666 0.334 0.500
6 S 0.731 0.731 0.694
7 S 0.063 0.400 0.694
8 S 0.269 0.269 0.306
9 S 0.400 0.063 0.694
10 S 0.937 0.600 0.306
11 S 0.600 0.937 0.306

- VASP energy (eV per atom) = -5.664
- spin magnetization (μB/f.u.) = 0.00

---

No. 2
The following is a PBE calculation of crystalline Cs3Na2 at its relaxed geometry, from Alexandria via LeMat-Bulk.

Cell lengths 10.034, 10.034, 11.391 Å; angles 63.87, 63.87, 60.00 degrees
Element x y z (fractional)
1 Cs 0.159 0.750 0.750
2 Cs 0.750 0.341 0.750
3 Cs 0.341 0.159 0.750
4 Cs 0.250 0.659 0.250
5 Cs 0.659 0.841 0.250
6 Cs 0.841 0.250 0.250
7 Na 0.809 0.809 0.573
8 Na 0.309 0.309 0.073
9 Na 0.191 0.191 0.427
10 Na 0.691 0.691 0.927

- formation energy from the elements (eV per atom) = 0.0553
- spin magnetization (μB/f.u.) = 0.00

---

No. 3
The following is a PBE calculation of crystalline CaMnCdFe2 at its relaxed geometry, from Alexandria via LeMat-Bulk.

Cell lengths 4.390, 5.020, 4.390 Å; angles 90.00, 90.00, 90.00 degrees
Site moments in Bohr magnetons follow the coordinates.
Element x y z (fractional)
1 Ca 0.500 0.500 0.500  -0.03
2 Mn 0.000 0.000 0.000  -0.13
3 Fe 0.000 0.000 0.500  2.52
4 Fe 0.500 0.000 0.000  2.17
5 Cd 0.000 0.500 0.000  0.01

- formation energy from the elements (eV per atom) = 0.6808
- spin magnetization (μB/f.u.) = 4.55

---

No. 4
The following is a PBE calculation of crystalline Tb4ThTe5 at its relaxed geometry, from Alexandria via LeMat-Bulk.

Cell lengths 4.317, 6.222, 11.793 Å; angles 105.30, 100.55, 90.00 degrees
Element x y z (fractional)
1 Tb 0.403 0.403 0.807
2 Tb 0.798 0.798 0.596
3 Tb 0.202 0.202 0.404
4 Tb 0.597 0.597 0.193
5 Th 0.000 0.000 0.000
6 Te 0.605 0.105 0.210
7 Te 0.802 0.302 0.604
8 Te 0.198 0.698 0.396
9 Te 0.000 0.500 0.000
10 Te 0.395 0.895 0.790

- VASP energy (eV per atom) = -5.404
- spin magnetization (μB/f.u.) = 0.00

---

No. 5
The following is a PBE calculation of crystalline Hf3Zr8Pa at its relaxed geometry, from Alexandria via LeMat-Bulk.

Cell lengths 7.562, 7.562, 7.562 Å; angles 92.76, 118.42, 118.42 degrees
Element x y z (fractional)
1 Hf 0.500 0.750 0.250
2 Hf 0.500 0.250 0.750
3 Hf 0.000 0.500 0.500
4 Zr 0.480 0.208 0.208
5 Zr 0.520 0.728 0.728
6 Zr 0.000 0.792 0.272
7 Zr 0.000 0.272 0.792
8 Zr 0.277 0.374 0.374
9 Zr 0.723 0.097 0.097
10 Zr 0.000 0.626 0.903
11 Zr 0.000 0.903 0.626
12 Pa 0.000 0.000 0.000

- formation energy from the elements (eV per atom) = 0.8167
- spin magnetization (μB/f.u.) = 0.00

---

No. 6
The following is a PBE calculation of crystalline Mg3P at its relaxed geometry, from Alexandria via LeMat-Bulk.

Cell lengths 3.823, 5.586, 7.888 Å; angles 90.00, 90.00, 90.00 degrees
Element x y z (fractional)
1 Mg 0.500 0.204 0.000
2 Mg 0.000 0.796 0.500
3 Mg 0.000 0.251 0.304
4 Mg 0.000 0.251 0.696
5 Mg 0.500 0.749 0.804
6 Mg 0.500 0.749 0.196
7 P 0.000 0.519 0.000
8 P 0.500 0.481 0.500

- formation energy from the elements (eV per atom) = -0.2511
- spin magnetization (μB/f.u.) = 0.00

---

No. 7
The following is a PBE calculation of crystalline CdBr2F at its relaxed geometry, from Alexandria via LeMat-Bulk.

Cell lengths 8.153, 8.153, 8.153 Å; angles 29.28, 29.28, 29.28 degrees
Site moments in Bohr magnetons follow the coordinates.
Element x y z (fractional)
1 F 0.000 0.000 0.000  0.42
2 Br 0.899 0.899 0.899  0.15
3 Br 0.101 0.101 0.101  0.15
4 Cd 0.500 0.500 0.500  0.01

- VASP energy (eV per atom) = -2.141
- spin magnetization (μB/f.u.) = 0.87

---

No. 8
The following is a PBE calculation of crystalline Ba2Hg2Ge at its relaxed geometry, from Alexandria via LeMat-Bulk.

Cell lengths 8.142, 8.142, 5.107 Å; angles 90.00, 90.00, 90.00 degrees
Element x y z (fractional)
1 Ge 0.000 0.000 0.000
2 Ge 0.500 0.500 0.000
3 Hg 0.372 0.872 0.000
4 Hg 0.872 0.628 0.000
5 Hg 0.628 0.128 0.000
6 Hg 0.128 0.372 0.000
7 Ba 0.184 0.684 0.500
8 Ba 0.684 0.816 0.500
9 Ba 0.816 0.316 0.500
10 Ba 0.316 0.184 0.500

- formation energy from the elements (eV per atom) = -0.3356
- spin magnetization (μB/f.u.) = 0.00

---

No. 9
The following is a PBE calculation of crystalline Tm3Pu2N4 at its relaxed geometry, from Alexandria via LeMat-Bulk.

Cell lengths 3.380, 5.931, 7.861 Å; angles 74.29, 77.59, 73.45 degrees
Site moments in Bohr magnetons follow the coordinates.
Element x y z (fractional)
1 Tm 0.000 0.000 0.000  0.10
2 Tm 0.210 0.396 0.184  0.23
3 Tm 0.790 0.604 0.816  0.23
4 Pu 0.599 0.195 0.606  5.26
5 Pu 0.401 0.805 0.394  5.26
6 N 0.806 0.090 0.297  -0.11
7 N 0.194 0.910 0.703  -0.11
8 N 0.395 0.306 0.905  -0.03
9 N 0.605 0.694 0.095  -0.03

- VASP energy (eV per atom) = -9.749
- spin magnetization (μB/f.u.) = 11.79

---

No. 10
The following is a PBE calculation of crystalline KHgTe at its relaxed geometry, from Alexandria via LeMat-Bulk.

Cell lengths 7.426, 6.528, 6.528 Å; angles 42.78, 90.00, 90.00 degrees
Element x y z (fractional)
1 K 0.250 0.306 0.307
2 K 0.750 0.694 0.693
3 Hg 0.000 0.000 0.000
4 Hg 0.500 0.000 0.000
5 Te 0.250 0.592 0.591
6 Te 0.750 0.408 0.409

- VASP energy (eV per atom) = -1.981
- spin magnetization (μB/f.u.) = 0.00

---

No. 11
The following is a PBE calculation of crystalline Ac2InH at its relaxed geometry, from Alexandria via LeMat-Bulk.

Cell lengths 7.788, 7.788, 7.138 Å; angles 90.00, 90.00, 120.00 degrees
Element x y z (fractional)
1 Ac 0.864 0.264 0.921
2 Ac 0.399 0.136 0.588
3 Ac 0.736 0.601 0.255
4 Ac 0.264 0.864 0.079
5 Ac 0.136 0.399 0.412
6 Ac 0.601 0.736 0.745
7 In 0.319 0.319 0.000
8 In 0.000 0.681 0.667
9 In 0.681 0.000 0.333
10 H 0.474 0.474 0.500
11 H 0.000 0.526 0.167
12 H 0.526 0.000 0.833

- VASP energy (eV per atom) = -3.876
- spin magnetization (μB/f.u.) = 0.00

---

No. 12
The following is a PBE calculation of crystalline Pm6AgRh2Br3 at its relaxed geometry, from Alexandria via LeMat-Bulk.

Cell lengths 7.230, 7.230, 8.116 Å; angles 98.49, 98.49, 120.05 degrees
Element x y z (fractional)
1 Pm 0.933 0.578 0.799
2 Pm 0.711 0.711 0.200
3 Pm 0.067 0.422 0.201
4 Pm 0.578 0.933 0.799
5 Pm 0.289 0.289 0.800
6 Pm 0.422 0.067 0.201
7 Ag 0.000 0.000 0.000
8 Rh 0.333 0.667 0.000
9 Rh 0.667 0.333 0.000
10 Br 0.168 0.832 0.500
11 Br 0.832 0.168 0.500
12 Br 0.500 0.500 0.500

- VASP energy (eV per atom) = -5.192
- spin magnetization (μB/f.u.) = 0.00

---

Look up the spin magnetization of the ninth one.
11.79 μB/f.u.